Sr5CoO6: relaxed, PBE+U. Values from VASP.

Summary:
**Raw total energy**: -5.9507 eV per atom
**Density**: 5.031 Mg/m³
**Crystal system**: monoclinic
**Volume**: 16.3 Å³/atom

Structure (Quantum ESPRESSO input):
```
&SYSTEM
  ibrav = 0, nat = 12, ntyp = 3
/
ATOMIC_SPECIES
Sr 87.62 Sr.upf
O 16.00 O.upf
Co 58.93 Co.upf
ATOMIC_POSITIONS angstrom
Sr 0.292 -4.532 6.514
Sr -1.409 -2.874 3.861
Sr 0.786 -0.969 6.080
Sr 3.435 -3.288 5.338
Sr 1.743 -1.622 2.694
O -2.196 -4.474 6.013
O -0.622 -1.274 1.709
O -1.706 -0.809 5.266
O 0.989 -3.115 4.580
O 0.090 -2.385 8.014
O 2.784 -4.691 7.329
Co 0.000 0.000 0.000
CELL_PARAMETERS angstrom
-4.099 -0.591 4.562
1.281 -5.157 3.160
3.897 0.248 4.872
```